# 1
# PBE Li6In5Sb, relaxed
data_Li6In5Sb
_chemical_formula_sum 'Li12 In10 Sb2'
_space_group_name_H-M_alt 'C 1 2/m 1'
_space_group_IT_number 12
_cell_length_a 8.331
_cell_length_b 14.594
_cell_length_c 4.855
_cell_angle_alpha 90.00
_cell_angle_beta 125.55
_cell_angle_gamma 90.00
loop_
_space_group_symop_operation_xyz
'x,y,z'
'-x,-y,-z'
'-x,y,-z'
'x,-y,z'
'x+1/2,y+1/2,z'
'-x+1/2,-y+1/2,-z'
'-x+1/2,y+1/2,-z'
'x+1/2,-y+1/2,z'
loop_
_atom_site_label
_atom_site_type_symbol
_atom_site_fract_x
_atom_site_fract_y
_atom_site_fract_z
Li1 Li 0.237 0.000 0.239
Li2 Li 0.241 0.163 0.741
In1 In 0.000 0.177 0.000
In2 In 0.000 0.335 0.500
In3 In 0.000 0.500 0.000
Sb1 Sb 0.000 0.000 0.500
# Energy relative to the elements, uncorrected ... -0.3098 eV per atom


# 2
# PBE LiInSb2, relaxed
data_LiInSb2
_chemical_formula_sum 'Li3 In3 Sb6'
_space_group_name_H-M_alt 'R 3 m'
_space_group_IT_number 160
_space_group_name_Hall 'R 3 -2"'
_cell_length_a 3.3648
_cell_length_b 3.3648
_cell_length_c 30.3908
_cell_angle_alpha 90.00
_cell_angle_beta 90.00
_cell_angle_gamma 120.00
loop_
_atom_site_label
_atom_site_type_symbol
_atom_site_fract_x
_atom_site_fract_y
_atom_site_fract_z
Li1 Li 0.0000 0.0000 0.0000
In1 In 0.0000 0.0000 0.7438
Sb1 Sb 0.0000 0.0000 0.2611
Sb2 Sb 0.0000 0.0000 0.5001
# Energy relative to the elements, uncorrected ... 0.0065 eV per atom


# 3
# PBE LiInSb2, relaxed
data_LiInSb2
_chemical_formula_sum 'Li1 In1 Sb2'
_space_group_name_H-M_alt 'P 4/m m m'
_space_group_IT_number 123
_space_group_name_Hall '-P 4 2'
_cell_length_a 3.976
_cell_length_b 3.976
_cell_length_c 6.443
_cell_angle_alpha 90.00
_cell_angle_beta 90.00
_cell_angle_gamma 90.00
loop_
_atom_site_label
_atom_site_type_symbol
_atom_site_fract_x
_atom_site_fract_y
_atom_site_fract_z
Li1 Li 0.000 0.000 0.000
In1 In 0.000 0.000 0.500
Sb1 Sb 0.500 0.500 0.223
# Energy relative to the elements, uncorrected ... -0.1135 eV per atom


# 4
# PBE LiIn4Sb, relaxed
data_LiIn4Sb
_chemical_formula_sum 'Li4 In16 Sb4'
_space_group_name_H-M_alt 'F -4 3 m'
_space_group_IT_number 216
_space_group_name_Hall 'F -4 2 3'
_cell_length_a 8.748
_cell_length_b 8.748
_cell_length_c 8.748
_cell_angle_alpha 90.00
_cell_angle_beta 90.00
_cell_angle_gamma 90.00
loop_
_atom_site_label
_atom_site_type_symbol
_atom_site_fract_x
_atom_site_fract_y
_atom_site_fract_z
Li1 Li 0.000 0.000 0.000
In1 In 0.125 0.125 0.375
Sb1 Sb 0.250 0.250 0.750
# Energy relative to the elements, uncorrected ... 0.0936 eV per atom


> What is the energy relative to the elements, uncorrected in the second record?

0.0065 eV per atom


> Look up the energy relative to the elements, uncorrected of the first one.

-0.3098 eV per atom


> What is the formula in the third record?

LiInSb2